Entry 1:
## CuGePb2Au6 (PBE)

Data for a relaxed CuGePb2Au6 crystal.

Cell and atoms, written as CIF:
```
data_CuGePb2Au6
_cell_length_a 6.544
_cell_length_b 6.577
_cell_length_c 6.964
_cell_angle_alpha 62.74
_cell_angle_beta 62.35
_cell_angle_gamma 60.62
_symmetry_space_group_name_H-M 'P -1'
_symmetry_Int_Tables_number 2
_symmetry_space_group_name_Hall '-P 1'
loop_
_atom_site_label
_atom_site_type_symbol
_atom_site_fract_x
_atom_site_fract_y
_atom_site_fract_z
Cu1 Cu 0.000 0.000 0.000
Ge1 Ge 0.500 0.500 0.500
Pb1 Pb 0.314 0.304 0.073
Au1 Au 0.139 0.842 0.665
Au2 Au 0.157 0.647 0.331
Au3 Au 0.353 0.138 0.669
```

Its formation energy from the elements is 2.7 kJ/mol of atoms.

=====

Entry 2:
## Pm2Cu3Ge4Au (PBE)

Data for a relaxed Pm2Cu3Ge4Au crystal.

Cell and atoms, written as CIF:
```
data_Pm2Cu3Ge4Au
_cell_length_a 4.268
_cell_length_b 4.268
_cell_length_c 10.146
_cell_angle_alpha 90.00
_cell_angle_beta 90.00
_cell_angle_gamma 90.00
_symmetry_space_group_name_H-M 'P -4 m 2'
_symmetry_Int_Tables_number 115
_symmetry_space_group_name_Hall 'P -4 -2'
loop_
_atom_site_label
_atom_site_type_symbol
_atom_site_fract_x
_atom_site_fract_y
_atom_site_fract_z
Pm1 Pm 0.000 0.500 0.244
Cu1 Cu 0.000 0.500 0.875
Cu2 Cu 0.500 0.500 0.500
Ge1 Ge 0.000 0.000 0.000
Ge2 Ge 0.000 0.500 0.641
Ge3 Ge 0.500 0.500 0.000
Au1 Au 0.000 0.000 0.500
```

Its formation energy from the elements is -49.8 kJ/mol of atoms.

=====

Entry 3:
## Pm2CuGe3Au4 (PBE)

Data for a relaxed Pm2CuGe3Au4 crystal.

Cell and atoms, written as CIF:
```
data_Pm2CuGe3Au4
_cell_length_a 4.374
_cell_length_b 4.374
_cell_length_c 10.688
_cell_angle_alpha 90.00
_cell_angle_beta 90.00
_cell_angle_gamma 90.00
_symmetry_space_group_name_H-M 'P -4 m 2'
_symmetry_Int_Tables_number 115
_symmetry_space_group_name_Hall 'P -4 -2'
loop_
_atom_site_label
_atom_site_type_symbol
_atom_site_fract_x
_atom_site_fract_y
_atom_site_fract_z
Pm1 Pm 0.000 0.500 0.250
Cu1 Cu 0.000 0.000 0.500
Ge1 Ge 0.000 0.500 0.860
Ge2 Ge 0.500 0.500 0.500
Au1 Au 0.000 0.000 0.000
Au2 Au 0.000 0.500 0.628
Au3 Au 0.500 0.500 0.000
```

Its formation energy from the elements is -49.2 kJ/mol of atoms.

=====

Entry 4:
## PmCu2Ge2Au (PBE)

Data for a relaxed PmCu2Ge2Au crystal.

Cell and atoms, written as CIF:
```
data_PmCu2Ge2Au
_cell_length_a 4.2375
_cell_length_b 4.2375
_cell_length_c 6.8911
_cell_angle_alpha 90.00
_cell_angle_beta 90.00
_cell_angle_gamma 120.00
_symmetry_space_group_name_H-M 'P -3 m 1'
_symmetry_Int_Tables_number 164
_symmetry_space_group_name_Hall '-P 3 2"'
loop_
_atom_site_label
_atom_site_type_symbol
_atom_site_fract_x
_atom_site_fract_y
_atom_site_fract_z
Pm1 Pm 0.0000 0.0000 0.0000
Cu1 Cu 0.3333 0.6667 0.6796
Ge1 Ge 0.3333 0.6667 0.2668
Au1 Au 0.0000 0.0000 0.5000
```

Its formation energy from the elements is -35.4 kJ/mol of atoms.

=====

Entry 5:
## PmCuGe2Au (PBE)

Data for a relaxed PmCuGe2Au crystal.

Cell and atoms, written as CIF:
```
data_PmCuGe2Au
_cell_length_a 4.261
_cell_length_b 4.261
_cell_length_c 10.588
_cell_angle_alpha 90.00
_cell_angle_beta 90.00
_cell_angle_gamma 90.00
_symmetry_space_group_name_H-M 'I -4 m 2'
_symmetry_Int_Tables_number 119
_symmetry_space_group_name_Hall 'I -4 -2'
loop_
_atom_site_label
_atom_site_type_symbol
_atom_site_fract_x
_atom_site_fract_y
_atom_site_fract_z
Pm1 Pm 0.000 0.000 0.000
Cu1 Cu 0.000 0.500 0.750
Ge1 Ge 0.000 0.000 0.383
Au1 Au 0.000 0.500 0.250
```

Its formation energy from the elements is -50.7 kJ/mol of atoms.

=====

Entry 6:
## Pr2CuGe4Au3 (PBE)

Data for a relaxed Pr2CuGe4Au3 crystal.

Cell and atoms, written as CIF:
```
data_Pr2CuGe4Au3
_cell_length_a 4.375
_cell_length_b 4.375
_cell_length_c 10.798
_cell_angle_alpha 90.00
_cell_angle_beta 90.00
_cell_angle_gamma 90.00
_symmetry_space_group_name_H-M 'P -4 m 2'
_symmetry_Int_Tables_number 115
_symmetry_space_group_name_Hall 'P -4 -2'
loop_
_atom_site_label
_atom_site_type_symbol
_atom_site_fract_x
_atom_site_fract_y
_atom_site_fract_z
Pr1 Pr 0.000 0.500 0.236
Cu1 Cu 0.500 0.500 0.000
Ge1 Ge 0.000 0.000 0.500
Ge2 Ge 0.000 0.500 0.873
Ge3 Ge 0.500 0.500 0.500
Au1 Au 0.000 0.000 0.000
Au2 Au 0.000 0.500 0.640
```

Its formation energy from the elements is -51.9 kJ/mol of atoms.